The following is a DFT calculation (PBE) of a relaxed structure of Na2Tl5Hg12.

## Properties
- density of states at the Fermi level (states/eV per cell) = 12.55
- formation energy from the elements (meV/atom) = -69

CIF file:
```
data_Na2Tl5Hg12
_cell_length_a 18.9213
_cell_length_b 10.7291
_cell_length_c 5.3992
_cell_angle_alpha 90.00
_cell_angle_beta 102.57
_cell_angle_gamma 90.00
_symmetry_space_group_name_H-M 'C 1 2/m 1'
_symmetry_Int_Tables_number 12
loop_
_symmetry_equiv_pos_as_xyz
'x,y,z'
'-x,-y,-z'
'-x,y,-z'
'x,-y,z'
'x+1/2,y+1/2,z'
'-x+1/2,-y+1/2,-z'
'-x+1/2,y+1/2,-z'
'x+1/2,-y+1/2,z'
loop_
_atom_site_label
_atom_site_type_symbol
_atom_site_fract_x
_atom_site_fract_y
_atom_site_fract_z
Na1 Na 0.0000 0.2384 0.0000
Tl1 Tl 0.0000 0.0000 0.5000
Tl2 Tl 0.1838 0.5000 0.7943
Tl3 Tl 0.2064 0.0000 0.6335
Hg1 Hg 0.0708 0.5000 0.2141
Hg2 Hg 0.0931 0.2595 0.5830
Hg3 Hg 0.1056 0.0000 0.0656
Hg4 Hg 0.1924 0.2508 0.1873
```